Computed, not measured: an optimized crystal structure of Li2As2Au at the PBE-GGA level of DFT.

The magnetization is 0.0 Bohr magnetons per cell. The calculation puts the calculated formation energy at -85 meV per atom. The value obtained for the calculated total energy is -3.3655 eV per atom. The calculation puts the polymorph energy (0 for the lowest one) at 0.3519 eV per atom.

It has space group I4/mmm (No. 139), with a = 4.112 Å, b = 4.112 Å, c = 10.753 Å, α = 90.00°, β = 90.00° and γ = 90.00°. The distinct sites, in fractional coordinates, are Li at (0.000, 0.500, 0.250), As at (0.000, 0.000, 0.108) and Au at (0.000, 0.000, 0.500).